Computed, not measured: crystalline Zr6Si7Ni16 at its relaxed geometry at the PBE-GGA level of DFT.

Total magnetic moment (μB per formula unit): 0.0
Total DFT energy (no corrections) (eV per atom): -6.92
Theoretical density (g cm⁻³): 7.441

CIF file:
```
data_Zr6Si7Ni16
_symmetry_space_group_name_H-M 'F m -3 m'
_symmetry_Int_Tables_number 225
_symmetry_space_group_name_Hall '-F 4 2 3'
_cell_length_a 11.4530
_cell_length_b 11.4530
_cell_length_c 11.4530
_cell_angle_alpha 90.00
_cell_angle_beta 90.00
_cell_angle_gamma 90.00
loop_
_atom_site_label
_atom_site_type_symbol
_atom_site_fract_x
_atom_site_fract_y
_atom_site_fract_z
_atom_site_occupancy
Zr1 Zr 0.0000 0.0000 0.2070 1
Si1 Si 0.0000 0.0000 0.5000 1
Si2 Si 0.0000 0.2500 0.2500 1
Ni1 Ni 0.1182 0.1182 0.3818 1
Ni2 Ni 0.1691 0.1691 0.1691 1
```